Entry 1:
The following is a DFT calculation (PBE) of an optimized crystal structure of Mn2SnPb.

Its calculated total energy is -24.325 eV per formula unit. The excess energy over the best structure of this formula in the dataset comes out at 0 meV/atom. The calculation puts the total magnetization at 7.6 μB per formula unit.

The space group is Fm-3m (No. 225) and the conventional cell measures 6.908, 6.908 and 6.908 Å, with angles of 90.00, 90.00 and 90.00 degrees. Symmetry generates all atoms from Mn at (0.250, 0.250, 0.250), Sn at (0.000, 0.000, 0.000) and Pb at (0.000, 0.000, 0.500).

---

Entry 2:
The following is a DFT calculation (PBE) of an optimized crystal structure of InPSe2.

Its calculated total energy is -15.012 eV per formula unit. The excess energy over the best structure of this formula in the dataset comes out at 107 meV/atom. For the formation energy from raw total energies, the calculation gives 10 kJ/mol of formula units. The calculation puts the total magnetization at 0.0 μB per formula unit.

The space group is Cmmm (No. 65) and the conventional cell measures 5.859, 7.963 and 3.876 Å, with angles of 90.00, 90.00 and 90.00 degrees. Symmetry generates all atoms from In at (0.000, 0.000, 0.000), P at (0.000, 0.500, 0.000) and Se at (0.000, 0.275, 0.500).

---

Entry 3:
The following is a DFT calculation (PBE) of an optimized crystal structure of Tm2Sn2H.

Its calculated total energy is -22.719 eV per formula unit. The calculation puts the total magnetization at 0.0 μB per formula unit.

The space group is Ibam (No. 72) and the conventional cell measures 5.870, 12.580 and 5.841 Å, with angles of 90.00, 90.00 and 90.00 degrees. Symmetry generates all atoms from Tm at (0.241, 0.067, 0.000), Sn at (0.227, 0.314, 0.000) and H at (0.000, 0.000, 0.250).

---

Entry 4:
The following is a DFT calculation (PBE) of an optimized crystal structure of PaSbRuN.

Its calculated total energy is -34.840 eV per formula unit. For the formation energy from raw total energies, the calculation gives -349 kJ/mol of formula units. The calculation puts the total magnetization at 0.0 μB per formula unit.

The space group is P4/nmm (No. 129, origin choice 2) and the conventional cell measures 4.173, 4.173 and 8.254 Å, with angles of 90.00, 90.00 and 90.00 degrees. Symmetry generates all atoms from Pa at (0.250, 0.250, 0.131), Sb at (0.250, 0.250, 0.682), Ru at (0.250, 0.750, 0.500) and N at (0.250, 0.750, 0.000).

---

Entry 5:
The following is a DFT calculation (PBE) of an optimized crystal structure of Ba2YAg2Te4.

Its calculated total energy is -38.386 eV per formula unit. For the formation energy from raw total energies, the calculation gives -946 kJ/mol of formula units. The calculation puts the total magnetization at 0.0 μB per formula unit.

The space group is C2/m (No. 12) and the conventional cell measures 16.910, 4.505 and 8.263 Å, with angles of 90.00, 112.27 and 90.00 degrees. Symmetry generates all atoms from Ba at (0.134, 0.000, 0.082), Y at (0.000, 0.000, 0.500), Ag at (0.186, 0.500, 0.486), Te at (0.011, 0.500, 0.246) and Te at (0.197, 0.000, 0.714).

---

Entry 6:
The following is a DFT calculation (PBE) of an optimized crystal structure of Sm2Si2HIr2.

Its calculated total energy is -47.313 eV per formula unit. The calculation puts the total magnetization at 0.0 μB per formula unit.

The space group is C2/m (No. 12) and the conventional cell measures 10.664, 4.187 and 6.959 Å, with angles of 90.00, 129.83 and 90.00 degrees. Symmetry generates all atoms from Sm at (0.065, 0.000, 0.295), Si at (0.150, 0.500, 0.705), H at (0.000, 0.500, 0.000) and Ir at (0.215, 0.500, 0.116).

---

Entry 7:
The following is a DFT calculation (PBE) of an optimized crystal structure of CaZnGaAu6.

Its calculated total energy is -28.279 eV per formula unit. The calculation puts the total magnetization at 0.0 μB per formula unit.

The space group is Imma (No. 74) and the conventional cell measures 7.430, 9.111 and 10.845 Å, with angles of 90.00, 90.00 and 90.00 degrees. Symmetry generates all atoms from Ca at (0.000, 0.250, 0.214), Zn at (0.250, 0.250, 0.750), Ga at (0.000, 0.000, 0.000), Au at (0.000, 0.250, 0.512), Au at (0.000, 0.250, 0.911) and Au at (0.194, 0.010, 0.371).

---

Entry 8:
The following is a DFT calculation (PBE) of an optimized crystal structure of ZrZn2Pt.

Its calculated total energy is -18.132 eV per formula unit. The calculation puts the total magnetization at 0.0 μB per formula unit.

The space group is Cmmm (No. 65) and the conventional cell measures 5.462, 8.990 and 2.780 Å, with angles of 90.00, 90.00 and 90.00 degrees. Symmetry generates all atoms from Zr at (0.000, 0.000, 0.000), Zn at (0.250, 0.250, 0.500) and Pt at (0.000, 0.500, 0.000).

---

Entry 9:
The following is a DFT calculation (PBE) of an optimized crystal structure of Pm2Sm2Er15.

Its calculated total energy is -81.963 eV per formula unit. The calculation puts the total magnetization at 0.0 μB per formula unit.

The space group is R-3m (No. 166, hexagonal axes) and the conventional cell measures 11.1987, 11.1987 and 17.3366 Å, with angles of 90.00, 90.00 and 120.00 degrees. Symmetry generates all atoms from Pm at (0.0000, 0.0000, 0.1173), Sm at (0.0000, 0.0000, 0.3325), Er at (0.0000, 0.3025, 0.0000), Er at (0.0000, 0.5000, 0.5000) and Er at (0.0120, 0.5060, 0.1401).

---

Entry 10:
The following is a DFT calculation (PBE) of an optimized crystal structure of ErInAg2I6.

Its calculated total energy is -29.347 eV per formula unit. For the formation energy from raw total energies, the calculation gives -680 kJ/mol of formula units. The calculation puts the total magnetization at 0.0 μB per formula unit.

The space group is R-3 (No. 148, hexagonal axes) and the conventional cell measures 7.9873, 7.9873 and 23.3840 Å, with angles of 90.00, 90.00 and 120.00 degrees. Symmetry generates all atoms from Er at (0.0000, 0.0000, 0.0000), In at (0.0000, 0.0000, 0.5000), Ag at (0.0000, 0.0000, 0.2684) and I at (0.9996, 0.3064, 0.0761).

---

Entry 11:
The following is a DFT calculation (PBE) of an optimized crystal structure of Ge2B2S.

Its calculated total energy is -21.834 eV per formula unit. The excess energy over the best structure of this formula in the dataset comes out at 214 meV/atom. For the formation energy from raw total energies, the calculation gives 471 kJ/mol of formula units. The calculation puts the total magnetization at 0.0 μB per formula unit.

The space group is P4/mbm (No. 127) and the conventional cell measures 6.508, 6.508 and 3.639 Å, with angles of 90.00, 90.00 and 90.00 degrees. Symmetry generates all atoms from Ge at (0.135, 0.365, 0.000), B at (0.231, 0.269, 0.500) and S at (0.000, 0.000, 0.500).

---

Entry 12:
The following is a DFT calculation (PBE) of an optimized crystal structure of NbTlCl2.

Its calculated total energy is -15.242 eV per formula unit. The excess energy over the best structure of this formula in the dataset comes out at 879 meV/atom. For the formation energy from raw total energies, the calculation gives 86 kJ/mol of formula units. The calculation puts the total magnetization at 0.3 μB per formula unit.

The space group is Fm-3m (No. 225) and the conventional cell measures 6.973, 6.973 and 6.973 Å, with angles of 90.00, 90.00 and 90.00 degrees. Symmetry generates all atoms from Nb at (0.000, 0.000, 0.000), Tl at (0.000, 0.000, 0.500) and Cl at (0.250, 0.250, 0.250).

---

Entry 13:
The following is a DFT calculation (PBE) of an optimized crystal structure of La4AlBr6.

Its calculated total energy is -48.186 eV per formula unit. For the formation energy from raw total energies, the calculation gives -1418 kJ/mol of formula units. The calculation puts the total magnetization at 1.0 μB per formula unit.

The space group is P4_2/nmc (No. 137, origin choice 2) and the conventional cell measures 10.180, 10.180 and 7.269 Å, with angles of 90.00, 90.00 and 90.00 degrees. Symmetry generates all atoms from La at (0.002, 0.750, 0.072), Al at (0.250, 0.750, 0.250), Br at (0.039, 0.539, 0.750) and Br at (0.250, 0.250, 0.184).

---

Entry 14:
The following is a DFT calculation (PBE) of an optimized crystal structure of SrCaSi2.

Its calculated total energy is -15.184 eV per formula unit. The excess energy over the best structure of this formula in the dataset comes out at 331 meV/atom. For the formation energy from raw total energies, the calculation gives -63 kJ/mol of formula units. The calculation puts the total magnetization at 0.0 μB per formula unit.

The space group is Cmmm (No. 65) and the conventional cell measures 6.679, 8.729 and 3.354 Å, with angles of 90.00, 90.00 and 90.00 degrees. Symmetry generates all atoms from Sr at (0.000, 0.000, 0.000), Ca at (0.000, 0.500, 0.000) and Si at (0.250, 0.250, 0.500).